A relaxed structure of TlIO5. Source: Alexandria, functional PBE.

Results
Uncorrected formation energy (meV/atom): -221.7
Raw total energy (eV per atom): -4.32

CIF file:
```
data_TlIO5
_chemical_formula_sum 'Tl4 I4 O20'
_symmetry_space_group_name_H-M 'C 1 2/c 1'
_symmetry_Int_Tables_number 15
_cell_length_a 8.561
_cell_length_b 6.353
_cell_length_c 7.760
_cell_angle_alpha 90.00
_cell_angle_beta 114.80
_cell_angle_gamma 90.00
loop_
_symmetry_equiv_pos_as_xyz
'x,y,z'
'-x,-y,-z'
'-x,y,-z+1/2'
'x,-y,z+1/2'
'x+1/2,y+1/2,z'
'-x+1/2,-y+1/2,-z'
'-x+1/2,y+1/2,-z+1/2'
'x+1/2,-y+1/2,z+1/2'
loop_
_atom_site_label
_atom_site_type_symbol
_atom_site_fract_x
_atom_site_fract_y
_atom_site_fract_z
Tl1 Tl 0.000 0.015 0.250
I1 I 0.000 0.500 0.000
O1 O 0.000 0.406 0.250
O2 O 0.069 0.217 0.993
O3 O 0.225 0.403 0.629
```

---

A relaxed structure of YHo3S3. Source: Alexandria, functional PBE.

Results
Uncorrected formation energy (meV/atom): -1689.4
Raw total energy (eV per atom): -6.34

CIF file:
```
data_YHo3S3
_chemical_formula_sum 'Y4 Ho12 S12'
_symmetry_space_group_name_H-M 'P 42/m n m'
_symmetry_Int_Tables_number 136
_symmetry_space_group_name_Hall '-P 4n 2n'
_cell_length_a 10.926
_cell_length_b 10.926
_cell_length_c 5.432
_cell_angle_alpha 90.00
_cell_angle_beta 90.00
_cell_angle_gamma 90.00
loop_
_atom_site_label
_atom_site_type_symbol
_atom_site_fract_x
_atom_site_fract_y
_atom_site_fract_z
Y1 Y 0.121 0.121 0.000
Ho1 Ho 0.120 0.627 0.000
Ho2 Ho 0.127 0.873 0.500
S1 S 0.126 0.374 0.000
S2 S 0.126 0.874 0.000
```

---

A relaxed structure of CsLiYSe2. Source: Alexandria, functional PBE.

Results
Uncorrected formation energy (meV/atom): -1206.2
Raw total energy (eV per atom): -4.45

CIF file:
```
data_CsLiYSe2
_chemical_formula_sum 'Cs4 Li4 Y4 Se8'
_symmetry_space_group_name_H-M 'C m m e'
_symmetry_Int_Tables_number 67
_symmetry_space_group_name_Hall '-C 2a 2'
_cell_length_a 7.217
_cell_length_b 15.398
_cell_length_c 6.431
_cell_angle_alpha 90.00
_cell_angle_beta 90.00
_cell_angle_gamma 90.00
loop_
_atom_site_label
_atom_site_type_symbol
_atom_site_fract_x
_atom_site_fract_y
_atom_site_fract_z
Cs1 Cs 0.000 0.250 0.226
Li1 Li 0.000 0.000 0.000
Y1 Y 0.250 0.000 0.500
Se1 Se 0.000 0.106 0.716
```